The following is a DFT calculation (PBE) of a relaxed structure of Zr2Be.

a = 6.1762 Å, b = 6.1762 Å, c = 6.1762 Å
α = 90.00°, β = 90.00°, γ = 90.00°
With the nearest neighbours (Å) after each atom.
Space group Pa-3 (No. 205)
Unique sites:
1 Zr 0.1629 0.1629 0.1629 [8 per cell]  3 Be 2.52
2 Be 0.0000 0.0000 0.5000 [4 per cell]  6 Zr 2.52

Results
DOS at the Fermi energy: 12.4 states/eV per cell
DFT formation energy: 0.21 eV/atom